Record 1
First-principles (PBE) data for an optimized crystal structure of Tb8DyMg6, as listed in Alexandria.

Calculated values
Its magnetization is 0.01 μB per cell. The crystal system is trigonal. The total energy comes out at -3.23 eV/atom.

Unit cell a=9.1187 b=9.1187 c=19.4137 alpha=90.00 beta=90.00 gamma=120.00
Last column: nearest neighbours and their distance in Å.
Space group R-3 (No. 148, hexagonal axes)
Inequivalent atoms, fractional coordinates:
1 Tb 0.0000 0.0000 0.1661 (multiplicity 6)  6 Mg 3.18
2 Tb 0.0001 0.3331 0.6170 (multiplicity 18)  5 Mg 3.20-3.33
3 Dy 0.0000 0.0000 0.5000 (multiplicity 3)  6 Mg 3.18
4 Mg 0.0003 0.3333 0.4522 (multiplicity 18)  1 Dy 3.18, 7 Tb 3.18-3.33

---

Record 2
First-principles (PBE) data for an optimized crystal structure of CdP2Cl, as listed in Alexandria.

Calculated values
Its formation energy without anion corrections is -21 kJ per mole of atoms. The calculation puts the distance to the lowest polymorph of the same formula at 0.0 meV/atom. Its magnetization is 0.00 μB per cell. The crystal system is monoclinic.

Unit cell a=12.2213 b=3.3901 c=4.4423 alpha=90.00 beta=97.31 gamma=90.00
Last column: nearest neighbours and their distance in Å.
Space group C2/m (No. 12)
Inequivalent atoms, fractional coordinates:
1 Cd 0.0000 0.0000 0.0000 (multiplicity 2)  2 P 2.66, 4 Cl 2.79
2 P 0.2190 0.0000 0.1199 (multiplicity 4)  2 P 2.19
3 Cl 0.0000 0.5000 0.5000 (multiplicity 2)  4 Cd 2.79

---

Record 3
First-principles (PBE) data for an optimized crystal structure of KLiP, as listed in Alexandria.

Calculated values
The calculation puts the distance to the lowest polymorph of the same formula at 829.5 meV/atom. Its magnetization is 4.00 μB per cell. The crystal system is cubic.

Unit cell a=7.1442 b=7.1442 c=7.1442 alpha=90.00 beta=90.00 gamma=90.00
Last column: nearest neighbours and their distance in Å.
Space group F-43m (No. 216)
Inequivalent atoms, fractional coordinates:
1 K 0.0000 0.0000 0.0000 (multiplicity 4)  4 Li 3.09, 4 P 3.09
2 Li 0.2500 0.2500 0.2500 (multiplicity 4)  4 K 3.09
3 P 0.2500 0.2500 0.7500 (multiplicity 4)  4 K 3.09

---

Record 4
First-principles (PBE) data for an optimized crystal structure of AlAgHg, as listed in Alexandria.

Calculated values
The calculation puts the distance to the lowest polymorph of the same formula at 42.1 meV/atom. Its magnetization is 0.00 μB per cell. The crystal system is tetragonal.

Unit cell a=3.0383 b=3.0383 c=12.5900 alpha=90.00 beta=90.00 gamma=90.00
Last column: nearest neighbours and their distance in Å.
Space group I4mm (No. 107)
Inequivalent atoms, fractional coordinates:
1 Al 0.0000 0.0000 0.0000 (multiplicity 2)  4 Ag 2.79, 4 Al 3.04, 4 Hg 3.08
2 Ag 0.0000 0.0000 0.6413 (multiplicity 2)  4 Al 2.79, 4 Ag 3.04
3 Hg 0.0000 0.0000 0.3252 (multiplicity 2)  4 Hg 3.04, 4 Al 3.08, 4 Ag 3.16